[1]
K2Mg: relaxed, GGA-PBE.

a = 6.517 Å, b = 6.517 Å, c = 4.101 Å
α = 90.00°, β = 90.00°, γ = 90.00°
Space group P4/mmm (No. 123)
One atom of each set of equivalent atoms:
K: 0.000 0.500 0.000 (multiplicity 2)
Mg: 0.000 0.000 0.500 (multiplicity 1)

M_tot	0.00	μB per cell
E above lowest polymorph	80	meV per atom
ρ	1.0	g/cm³
calculated formation energy	0.22	eV/atom
total DFT energy (no corrections)	-1.05	eV per atom



[2]
Tb5Ga2: relaxed, GGA-PBE.

a = 15.757 Å, b = 6.227 Å, c = 8.133 Å
α = 90.00°, β = 97.70°, γ = 90.00°
Space group C2/c (No. 15)
One atom of each set of equivalent atoms:
Tb: 0.000 0.126 0.250 (multiplicity 4)
Tb: 0.095 0.364 0.924 (multiplicity 8)
Tb: 0.220 0.086 0.318 (multiplicity 8)
Ga: 0.103 0.194 0.582 (multiplicity 8)

M_tot	0.01	μB per cell
E above lowest polymorph	0	meV per atom
ρ	7.8	g/cm³
calculated formation energy	-0.32	eV/atom
total DFT energy (no corrections)	-4.49	eV per atom